1.
# Sc5Hg PBE relaxed
# ΔE to the lowest computed polymorph = 55.1 meV/atom
# ΔH_f (0 K) = -39 kJ/mol of formula units
# Calculated total energy = -32.37 eV for the cell shown
# Crystal system = hexagonal
data_Sc5Hg
_chemical_formula_sum 'Sc5 Hg1'
_space_group_name_H-M_alt 'P -6 2 m'
_space_group_IT_number 189
_space_group_name_Hall 'P -6 -2'
_cell_length_a 5.6214
_cell_length_b 5.6214
_cell_length_c 5.1479
_cell_angle_alpha 90.00
_cell_angle_beta 90.00
_cell_angle_gamma 120.00
loop_
_atom_site_label
_atom_site_type_symbol
_atom_site_fract_x
_atom_site_fract_y
_atom_site_fract_z
Sc1 Sc 0.0000 0.6806 0.0000
Sc2 Sc 0.3333 0.6667 0.5000
Hg1 Hg 0.0000 0.0000 0.5000

=====

2.
# BaMgAl2Tc PBE relaxed
# ΔH_f (0 K) = -63 kJ/mol of formula units
# Calculated total energy = -22.02 eV for the cell shown
# Crystal system = tetragonal
data_BaMgAl2Tc
_chemical_formula_sum 'Ba1 Mg1 Al2 Tc1'
_space_group_name_H-M_alt 'P 4/m m m'
_space_group_IT_number 123
_space_group_name_Hall '-P 4 2'
_cell_length_a 4.926
_cell_length_b 4.926
_cell_length_c 5.187
_cell_angle_alpha 90.00
_cell_angle_beta 90.00
_cell_angle_gamma 90.00
loop_
_atom_site_label
_atom_site_type_symbol
_atom_site_fract_x
_atom_site_fract_y
_atom_site_fract_z
Ba1 Ba 0.000 0.000 0.000
Mg1 Mg 0.500 0.500 0.000
Al1 Al 0.000 0.500 0.500
Tc1 Tc 0.500 0.500 0.500

=====

3.
# Pm7Ho4Tm PBE relaxed
# ΔE to the lowest computed polymorph = 219.3 meV/atom
# ΔH_f (0 K) = 259 kJ/mol of formula units
# Calculated total energy = -106.71 eV for the cell shown
# Crystal system = monoclinic
data_Pm7Ho4Tm
_chemical_formula_sum 'Pm14 Ho8 Tm2'
_space_group_name_H-M_alt 'C 1 2/m 1'
_space_group_IT_number 12
_space_group_name_Hall '-C 2y'
_cell_length_a 16.111
_cell_length_b 5.961
_cell_length_c 9.351
_cell_angle_alpha 90.00
_cell_angle_beta 116.11
_cell_angle_gamma 90.00
loop_
_atom_site_label
_atom_site_type_symbol
_atom_site_fract_x
_atom_site_fract_y
_atom_site_fract_z
Pm1 Pm 0.000 0.000 0.000
Pm2 Pm 0.083 0.500 0.443
Pm3 Pm 0.209 0.500 0.232
Pm4 Pm 0.210 0.500 0.881
Ho1 Ho 0.072 0.000 0.698
Ho2 Ho 0.172 0.000 0.388
Tm1 Tm 0.000 0.500 0.000

=====

4.
# ZnAuSe2 PBE relaxed
# Calculated total energy = -36.33 eV for the cell shown
# Crystal system = trigonal
data_ZnAuSe2
_chemical_formula_sum 'Zn3 Au3 Se6'
_space_group_name_H-M_alt 'R -3 m'
_space_group_IT_number 166
_space_group_name_Hall '-R 3 2"'
_cell_length_a 3.8141
_cell_length_b 3.8141
_cell_length_c 22.8934
_cell_angle_alpha 90.00
_cell_angle_beta 90.00
_cell_angle_gamma 120.00
loop_
_atom_site_label
_atom_site_type_symbol
_atom_site_fract_x
_atom_site_fract_y
_atom_site_fract_z
Zn1 Zn 0.0000 0.0000 0.0000
Au1 Au 0.0000 0.0000 0.5000
Se1 Se 0.0000 0.0000 0.3946

=====

5.
# Na2H4RhPb2 PBE relaxed
# Calculated total energy = -58.82 eV for the cell shown
# Crystal system = tetragonal
data_Na2H4RhPb2
_chemical_formula_sum 'Na4 H8 Rh2 Pb4'
_space_group_name_H-M_alt 'I 4/m m m'
_space_group_IT_number 139
_space_group_name_Hall '-I 4 2'
_cell_length_a 6.396
_cell_length_b 6.396
_cell_length_c 8.056
_cell_angle_alpha 90.00
_cell_angle_beta 90.00
_cell_angle_gamma 90.00
loop_
_atom_site_label
_atom_site_type_symbol
_atom_site_fract_x
_atom_site_fract_y
_atom_site_fract_z
Na1 Na 0.000 0.500 0.250
H1 H 0.189 0.189 0.000
Rh1 Rh 0.000 0.000 0.000
Pb1 Pb 0.000 0.000 0.326

=====

6.
# LiMgIn2I5 PBE relaxed
# Calculated total energy = -95.68 eV for the cell shown
# Crystal system = orthorhombic
data_LiMgIn2I5
_chemical_formula_sum 'Li4 Mg4 In8 I20'
_space_group_name_H-M_alt 'C m c 21'
_space_group_IT_number 36
_space_group_name_Hall 'C 2c -2'
_cell_length_a 4.418
_cell_length_b 20.105
_cell_length_c 15.205
_cell_angle_alpha 90.00
_cell_angle_beta 90.00
_cell_angle_gamma 90.00
loop_
_atom_site_label
_atom_site_type_symbol
_atom_site_fract_x
_atom_site_fract_y
_atom_site_fract_z
Li1 Li 0.000 0.063 0.000
Mg1 Mg 0.000 0.288 0.585
In1 In 0.000 0.373 0.870
In2 In 0.000 0.402 0.219
I1 I 0.000 0.001 0.343
I2 I 0.000 0.143 0.556
I3 I 0.000 0.198 0.953
I4 I 0.000 0.224 0.217
I5 I 0.000 0.436 0.608

=====

Repeat the first record exactly.
# Sc5Hg PBE relaxed
# ΔE to the lowest computed polymorph = 55.1 meV/atom
# ΔH_f (0 K) = -39 kJ/mol of formula units
# Calculated total energy = -32.37 eV for the cell shown
# Crystal system = hexagonal
data_Sc5Hg
_chemical_formula_sum 'Sc5 Hg1'
_space_group_name_H-M_alt 'P -6 2 m'
_space_group_IT_number 189
_space_group_name_Hall 'P -6 -2'
_cell_length_a 5.6214
_cell_length_b 5.6214
_cell_length_c 5.1479
_cell_angle_alpha 90.00
_cell_angle_beta 90.00
_cell_angle_gamma 120.00
loop_
_atom_site_label
_atom_site_type_symbol
_atom_site_fract_x
_atom_site_fract_y
_atom_site_fract_z
Sc1 Sc 0.0000 0.6806 0.0000
Sc2 Sc 0.3333 0.6667 0.5000
Hg1 Hg 0.0000 0.0000 0.5000